First-principles (GGA-PBE) data for a relaxed structure of SbAsRu, as listed in Alexandria. Values from VASP.

Quantum ESPRESSO input file:
```
&SYSTEM
  ibrav = 0, nat = 3, ntyp = 3
/
ATOMIC_SPECIES
Sb 121.76 Sb.upf
As 74.92 As.upf
Ru 101.07 Ru.upf
CELL_PARAMETERS angstrom
0.0000 3.1063 3.1063
3.1063 0.0000 3.1063
3.1063 3.1063 0.0000
ATOMIC_POSITIONS angstrom
Sb 0.0000 0.0000 0.0000
As 3.1063 3.1063 3.1063
Ru 4.6594 4.6594 4.6594
```

Computed properties:
Magnetization   0.0 μB per formula unit
Formation energy (no corrections)   -7.09 kJ/mol of atoms
SG   F-43m
Excess energy over the best structure of this formula in the dataset   240 meV per atom

***

First-principles (GGA-PBE) data for a relaxed structure of SbAs2Ru, as listed in Alexandria. Values from VASP.

Quantum ESPRESSO input file:
```
&SYSTEM
  ibrav = 0, nat = 4, ntyp = 3
/
ATOMIC_SPECIES
Sb 121.76 Sb.upf
As 74.92 As.upf
Ru 101.07 Ru.upf
CELL_PARAMETERS angstrom
4.7625 0.0000 0.0000
0.0000 4.7625 0.0000
0.0000 0.0000 3.2879
ATOMIC_POSITIONS angstrom
Sb 0.0000 0.0000 0.0000
As 0.0000 2.3812 1.6439
As 2.3812 0.0000 1.6439
Ru 2.3812 2.3812 0.0000
```

Computed properties:
Magnetization   0.0 μB per formula unit
Formation energy (no corrections)   49.90 kJ/mol of atoms
SG   P4/mmm

***

First-principles (GGA-PBE) data for a relaxed structure of SbAsRu, as listed in Alexandria. Values from VASP.

Quantum ESPRESSO input file:
```
&SYSTEM
  ibrav = 0, nat = 6, ntyp = 3
/
ATOMIC_SPECIES
Sb 121.76 Sb.upf
As 74.92 As.upf
Ru 101.07 Ru.upf
CELL_PARAMETERS angstrom
5.7824 0.0000 0.0000
0.0000 3.1308 0.0000
-0.3152 0.0000 6.5166
ATOMIC_POSITIONS angstrom
Sb 1.0150 0.0000 0.9535
Sb 4.4521 0.0000 5.5630
As 1.6671 1.5654 4.1422
As 3.8001 1.5654 2.3744
Ru -0.1576 0.0000 3.2583
Ru 2.8912 1.5654 0.0000
```

Computed properties:
Magnetization   0.0 μB per formula unit
Formation energy (no corrections)   -22.97 kJ/mol of atoms
SG   P2/m
Excess energy over the best structure of this formula in the dataset   75 meV per atom

***

First-principles (GGA-PBE) data for a relaxed structure of SbAsRu4, as listed in Alexandria. Values from VASP.

Quantum ESPRESSO input file:
```
&SYSTEM
  ibrav = 0, nat = 6, ntyp = 3
/
ATOMIC_SPECIES
Sb 121.76 Sb.upf
As 74.92 As.upf
Ru 101.07 Ru.upf
CELL_PARAMETERS angstrom
0.0000 3.6786 3.6786
3.6786 0.0000 3.6786
3.6786 3.6786 0.0000
ATOMIC_POSITIONS angstrom
Sb 0.0000 0.0000 0.0000
As 5.5179 5.5179 5.5179
Ru 2.7615 2.7615 2.7615
Ru 4.5958 4.5958 2.7615
Ru 4.5958 2.7615 4.5958
Ru 2.7615 4.5958 4.5958
```

Computed properties:
Magnetization   0.2 μB per formula unit
Formation energy (no corrections)   57.57 kJ/mol of atoms
SG   F-43m

***

First-principles (GGA-PBE) data for a relaxed structure of SbAs2Ru, as listed in Alexandria. Values from VASP.

Quantum ESPRESSO input file:
```
&SYSTEM
  ibrav = 0, nat = 4, ntyp = 3
/
ATOMIC_SPECIES
Sb 121.76 Sb.upf
As 74.92 As.upf
Ru 101.07 Ru.upf
CELL_PARAMETERS angstrom
2.7038 -5.2042 0.0000
2.7038 5.2042 0.0000
-2.6633 0.0000 2.7403
ATOMIC_POSITIONS angstrom
Sb 0.0000 0.0000 0.0000
As 0.0202 2.6021 1.3702
As 0.0202 -2.6021 1.3702
Ru 2.7038 0.0000 0.0000
```

Computed properties:
Magnetization   0.0 μB per formula unit
Formation energy (no corrections)   31.78 kJ/mol of atoms
SG   C2/m

***

First-principles (GGA-PBE) data for a relaxed structure of SbAs2Ru, as listed in Alexandria. Values from VASP.

Quantum ESPRESSO input file:
```
&SYSTEM
  ibrav = 0, nat = 4, ntyp = 3
/
ATOMIC_SPECIES
Sb 121.76 Sb.upf
As 74.92 As.upf
Ru 101.07 Ru.upf
CELL_PARAMETERS angstrom
-1.5325 2.3558 5.5234
1.5325 -2.3558 5.5234
1.5325 2.3558 -5.5234
ATOMIC_POSITIONS angstrom
Sb 0.0000 0.0000 0.0000
As 1.5325 0.0000 3.4341
As 0.0000 2.3558 2.0892
Ru 0.0000 0.0000 5.5234
```

Computed properties:
Magnetization   0.0 μB per formula unit
Formation energy (no corrections)   17.69 kJ/mol of atoms
SG   Immm

***

First-principles (GGA-PBE) data for a relaxed structure of SbAsRu2, as listed in Alexandria. Values from VASP.

Quantum ESPRESSO input file:
```
&SYSTEM
  ibrav = 0, nat = 4, ntyp = 3
/
ATOMIC_SPECIES
Sb 121.76 Sb.upf
As 74.92 As.upf
Ru 101.07 Ru.upf
CELL_PARAMETERS angstrom
3.1101 0.0000 0.0000
0.0000 3.1101 0.0000
0.0000 0.0000 6.6794
ATOMIC_POSITIONS angstrom
Sb 0.0000 0.0000 0.0000
As 0.0000 0.0000 3.3397
Ru 1.5551 1.5551 1.8753
Ru 1.5551 1.5551 4.8040
```

Computed properties:
Magnetization   0.0 μB per formula unit
Formation energy (no corrections)   5.93 kJ/mol of atoms
SG   P4/mmm
Excess energy over the best structure of this formula in the dataset   105 meV per atom

***

First-principles (GGA-PBE) data for a relaxed structure of SbAs2Ru, as listed in Alexandria. Values from VASP.

Quantum ESPRESSO input file:
```
&SYSTEM
  ibrav = 0, nat = 4, ntyp = 3
/
ATOMIC_SPECIES
Sb 121.76 Sb.upf
As 74.92 As.upf
Ru 101.07 Ru.upf
CELL_PARAMETERS angstrom
-1.5579 2.1687 5.9533
1.5579 -2.1687 5.9533
1.5579 2.1687 -5.9533
ATOMIC_POSITIONS angstrom
Sb 0.0000 0.0000 0.0000
As 1.5579 0.0000 3.6371
As 0.0000 0.0000 7.5625
Ru 0.0000 2.1687 3.6224
```

Computed properties:
Magnetization   0.0 μB per formula unit
Formation energy (no corrections)   15.09 kJ/mol of atoms
SG   Imm2

***

First-principles (GGA-PBE) data for a relaxed structure of SbAsRu2, as listed in Alexandria. Values from VASP.

Quantum ESPRESSO input file:
```
&SYSTEM
  ibrav = 0, nat = 4, ntyp = 3
/
ATOMIC_SPECIES
Sb 121.76 Sb.upf
As 74.92 As.upf
Ru 101.07 Ru.upf
CELL_PARAMETERS angstrom
4.3751 0.0000 0.0000
0.0000 3.0923 0.0000
-2.1511 0.0000 4.8787
ATOMIC_POSITIONS angstrom
Sb 0.0000 0.0000 0.0000
As -1.0755 1.5462 2.4394
Ru 1.1120 0.0000 2.4394
Ru 2.1875 1.5462 0.0000
```

Computed properties:
Magnetization   0.0 μB per formula unit
Formation energy (no corrections)   9.05 kJ/mol of atoms
SG   P2/m
Excess energy over the best structure of this formula in the dataset   137 meV per atom

***

First-principles (GGA-PBE) data for a relaxed structure of SbAsRu2, as listed in Alexandria. Values from VASP.

Quantum ESPRESSO input file:
```
&SYSTEM
  ibrav = 0, nat = 4, ntyp = 3
/
ATOMIC_SPECIES
Sb 121.76 Sb.upf
As 74.92 As.upf
Ru 101.07 Ru.upf
CELL_PARAMETERS angstrom
4.0634 -1.5469 0.0000
4.0634 1.5469 0.0000
-1.2185 0.0000 5.2538
ATOMIC_POSITIONS angstrom
Sb 0.0000 0.0000 0.0000
As 3.4542 0.0000 2.6269
Ru 1.1201 0.0000 3.8216
Ru 5.7882 0.0000 1.4321
```

Computed properties:
Magnetization   0.0 μB per formula unit
Formation energy (no corrections)   5.57 kJ/mol of atoms
SG   C2/m
Excess energy over the best structure of this formula in the dataset   101 meV per atom

***

First-principles (GGA-PBE) data for a relaxed structure of SbAsRu2, as listed in Alexandria. Values from VASP.

Quantum ESPRESSO input file:
```
&SYSTEM
  ibrav = 0, nat = 4, ntyp = 3
/
ATOMIC_SPECIES
Sb 121.76 Sb.upf
As 74.92 As.upf
Ru 101.07 Ru.upf
CELL_PARAMETERS angstrom
3.1297 0.0000 0.0000
0.0000 4.7715 0.0000
0.0000 0.0000 4.5205
ATOMIC_POSITIONS angstrom
Sb 0.0000 0.0000 0.0000
As 1.5648 2.3857 3.1399
Ru 0.0000 2.3857 1.2471
Ru 1.5648 0.0000 2.2242
```

Computed properties:
Magnetization   0.0 μB per formula unit
Formation energy (no corrections)   -2.35 kJ/mol of atoms
SG   Pmm2
Excess energy over the best structure of this formula in the dataset   19 meV per atom

***

First-principles (GGA-PBE) data for a relaxed structure of SbAs2Ru, as listed in Alexandria. Values from VASP.

Quantum ESPRESSO input file:
```
&SYSTEM
  ibrav = 0, nat = 8, ntyp = 3
/
ATOMIC_SPECIES
Sb 121.76 Sb.upf
As 74.92 As.upf
Ru 101.07 Ru.upf
CELL_PARAMETERS angstrom
-2.9716 2.9716 5.8221
2.9716 -2.9716 5.8221
2.9716 2.9716 -5.8221
ATOMIC_POSITIONS angstrom
Sb 0.0000 0.0000 0.0000
Sb 0.0000 2.9716 2.9110
As 1.4858 -1.1347 4.3666
As 1.8368 1.4858 1.4555
As 1.4858 4.1063 -1.4555
As 1.1347 1.4858 7.2776
Ru 2.9716 0.0000 2.9110
Ru 0.0000 0.0000 5.8221
```

Computed properties:
Magnetization   0.0 μB per formula unit
Formation energy (no corrections)   16.26 kJ/mol of atoms
SG   I-42d